The following is a DFT calculation (PBE-GGA) of a relaxed structure of MgRh.

## Properties
The value obtained for the density of states at the Fermi level is 6.74 states/eV per cell. As for the space-group type: No. 136. The value obtained for the final energy is -4.44 eV per atom. As for the crystal system: tetragonal. The formation energy from the elements comes out at 0.031 eV/atom.

Unit cell a=5.1400 b=5.1400 c=5.1299 alpha=90.00 beta=90.00 gamma=90.00
Last column: nearest neighbours and their distance in Å.
Fractional coordinates of all 8 atoms:
Mg 0.2000 0.2000 0.0000  6 Rh 2.57-2.65
Mg 0.3000 0.7000 0.5000  6 Rh 2.57-2.65
Mg 0.7000 0.3000 0.5000  6 Rh 2.57-2.65
Mg 0.8000 0.8000 0.0000  6 Rh 2.57-2.65
Rh 0.1950 0.1950 0.5000  6 Mg 2.57-2.65, 1 Rh 2.83
Rh 0.3050 0.6950 0.0000  6 Mg 2.57-2.65, 1 Rh 2.83
Rh 0.6950 0.3050 0.0000  6 Mg 2.57-2.65, 1 Rh 2.83
Rh 0.8050 0.8050 0.5000  6 Mg 2.57-2.65, 1 Rh 2.83